--- P ---
The following is a PBE calculation of BeRhI after structural relaxation, from the Alexandria database.

M_tot: 0.00 Bohr magnetons per cell

POSCAR file:
```
BeRhI
1.0
5.452 0.000 0.000
0.000 5.452 0.000
0.000 0.000 4.302
Be I Rh
2 2 2
Direct
0.500 0.000 0.091 Be
0.000 0.500 0.909 Be
0.500 0.500 0.500 I
0.000 0.000 0.500 I
0.000 0.500 0.402 Rh
0.500 0.000 0.598 Rh
```

---

--- Q ---
The following is a PBE calculation of BeRhI after structural relaxation, from the Alexandria database.

M_tot: 0.00 Bohr magnetons per cell

POSCAR file:
```
BeRhI
1.0
0.000 3.024 3.024
3.024 0.000 3.024
3.024 3.024 0.000
I Be Rh
1 1 1
Direct
0.250 0.250 0.250 I
0.750 0.750 0.750 Be
0.500 0.500 0.500 Rh
```

---

What should be chosen as the most stable of them? Choose Q.

---

--- P ---
The following is a PBE calculation of BeRhI2 after structural relaxation, from the Alexandria database.

M_tot: 0.84 Bohr magnetons per cell

POSCAR file:
```
BeRhI2
1.0
0.000 3.490 3.490
3.490 0.000 3.490
3.490 3.490 0.000
Be I Rh
1 2 1
Direct
0.000 0.000 0.000 Be
0.750 0.750 0.750 I
0.250 0.250 0.250 I
0.500 0.500 0.500 Rh
```

---

--- Q ---
The following is a PBE calculation of BeRhI2 after structural relaxation, from the Alexandria database.

M_tot: 2.00 Bohr magnetons per cell

POSCAR file:
```
BeRhI2
1.0
-5.180 2.976 0.217
-2.941 -5.019 -1.375
-4.536 -2.251 4.925
I Rh Be
4 2 2
Direct
0.875 0.846 0.750 I
0.154 0.625 0.250 I
0.596 0.125 0.250 I
0.375 0.404 0.750 I
0.000 0.000 0.000 Rh
0.750 0.250 0.500 Rh
0.500 0.500 0.000 Be
0.250 0.750 0.500 Be
```

---

What should be chosen as the most stable of them? Choose Q.